# 1
## TaP2Au (PBE-GGA)

Data for a relaxed TaP2Au crystal.

Computed properties:
DFT formation energy	-165	meV/atom
total moment	0.000	Bohr magnetons per cell

Cell: 3.2908 3.2659 6.2915 Å, 90.00 102.53 90.00°
With the nearest neighbours (Å) after each atom.
Space group P2/m (No. 10)
Symmetry-distinct sites (fractional):
Ta 0.0000 0.0000 0.0000 [1 per cell]  8 P 2.62-2.68
P 0.3984 0.5000 0.7918 [2 per cell]  1 P 2.56, 2 Au 2.59, 4 Ta 2.62-2.68
Au 0.0000 0.0000 0.5000 [1 per cell]  4 P 2.59

# 2
## ZrInCl2 (PBE-GGA)

Data for a relaxed ZrInCl2 crystal.

Computed properties:
formation energy from raw total energies	-2.293	eV per formula unit
total moment	0.002	Bohr magnetons per cell

Cell: 3.2425 4.6707 5.7769 Å, 90.00 90.00 90.00°
With the nearest neighbours (Å) after each atom.
Space group Pmmm (No. 47)
Symmetry-distinct sites (fractional):
Zr 0.0000 0.0000 0.0000 [1 per cell]  4 Cl 2.84
In 0.5000 0.0000 0.5000 [1 per cell]  4 Cl 2.84
Cl 0.0000 0.5000 0.5000 [1 per cell]  4 In 2.84
Cl 0.5000 0.5000 0.0000 [1 per cell]  4 Zr 2.84

# 3
## TePtRh4 (PBE-GGA)

Data for a relaxed TePtRh4 crystal.

Computed properties:
formation energy from raw total energies	2.134	eV per formula unit
total moment	0.005	Bohr magnetons per cell

Cell: 7.3507 7.3507 7.3507 Å, 90.00 90.00 90.00°
With the nearest neighbours (Å) after each atom.
Space group F-43m (No. 216)
Symmetry-distinct sites (fractional):
Te 0.0000 0.0000 0.0000 [4 per cell]  12 Rh 3.05, 4 Pt 3.18
Pt 0.2500 0.2500 0.2500 [4 per cell]  12 Rh 3.05, 4 Te 3.18
Rh 0.1242 0.1242 0.6242 [16 per cell]  6 Rh 2.58-2.61

# 4
## AlRe2Hg (PBE-GGA)

Data for a relaxed AlRe2Hg crystal.

Computed properties:
DFT formation energy	153	meV/atom
total moment	0.000	Bohr magnetons per cell

Cell: 2.9742 2.9845 7.5177 Å, 90.00 90.00 90.00°
With the nearest neighbours (Å) after each atom.
Space group Pmm2 (No. 25)
Symmetry-distinct sites (fractional):
Al 0.0000 0.0000 0.0000 [1 per cell]  4 Re 2.67, 4 Al 2.97-2.98
Re 0.0000 0.0000 0.4229 [1 per cell]  4 Re 2.61
Re 0.5000 0.5000 0.2178 [1 per cell]  4 Re 2.61, 4 Al 2.67
Hg 0.5000 0.5000 0.7099 [1 per cell]  4 Hg 2.97-2.98, 4 Re 3.02, 4 Al 3.03

# 5
## MgCdAgHg3 (PBE-GGA)

Data for a relaxed MgCdAgHg3 crystal.

Computed properties:
DFT formation energy	-46	meV/atom
total moment	0.000	Bohr magnetons per cell

Cell: 7.6663 4.1554 9.0448 Å, 90.00 113.17 90.00°
With the nearest neighbours (Å) after each atom.
Space group P2_1/m (No. 11)
Symmetry-distinct sites (fractional):
Mg 0.1216 0.2500 0.2859 [2 per cell]  7 Hg 2.98-3.17, 3 Ag 3.04-3.08
Cd 0.3631 0.7500 0.8691 [2 per cell]  6 Hg 3.02-3.10, 2 Ag 3.12, 2 Cd 3.23
Ag 0.1060 0.2500 0.6210 [2 per cell]  4 Hg 2.97-3.08, 2 Ag 2.99, 3 Mg 3.04-3.08, 2 Cd 3.12
Hg 0.1231 0.2500 0.9548 [2 per cell]  1 Ag 2.97, 3 Mg 3.00-3.06, 2 Cd 3.07, 4 Hg 3.13-3.24
Hg 0.3306 0.7500 0.5257 [2 per cell]  2 Mg 2.98, 3 Hg 2.99-3.19, 1 Cd 3.02, 3 Ag 3.03-3.08
Hg 0.3956 0.7500 0.2208 [2 per cell]  5 Hg 2.99-3.24, 3 Cd 3.09-3.10, 2 Mg 3.17

# 6
## LaGeSe3 (PBE-GGA)

Data for a relaxed LaGeSe3 crystal.

Computed properties:
formation energy from raw total energies	-0.593	eV per formula unit
total moment	0.000	Bohr magnetons per cell

Cell: 5.7061 5.7061 5.7061 Å, 90.00 90.00 90.00°
With the nearest neighbours (Å) after each atom.
Space group Pm-3m (No. 221)
Symmetry-distinct sites (fractional):
La 0.0000 0.0000 0.0000 [1 per cell]  6 Se 2.85
Ge 0.5000 0.5000 0.5000 [1 per cell]  12 Se 4.03
Se 0.0000 0.0000 0.5000 [3 per cell]  2 La 2.85

# 7
## Tc3NiGe (PBE-GGA)

Data for a relaxed Tc3NiGe crystal.

Computed properties:
DFT formation energy	1415	meV/atom
total moment	4.059	Bohr magnetons per cell

Cell: 4.4490 4.4490 4.4490 Å, 90.00 90.00 90.00°
With the nearest neighbours (Å) after each atom.
Space group Pm-3m (No. 221)
Symmetry-distinct sites (fractional):
Tc 0.0000 0.0000 0.5000 [3 per cell]  2 Ni 2.22
Ni 0.0000 0.0000 0.0000 [1 per cell]  6 Tc 2.22
Ge 0.5000 0.5000 0.5000 [1 per cell]  12 Tc 3.15

# 8
## KTa2Mo (PBE-GGA)

Data for a relaxed KTa2Mo crystal.

Computed properties:
DFT formation energy	687	meV/atom
total moment	0.001	Bohr magnetons per cell

Cell: 3.2268 3.2268 9.5468 Å, 90.00 90.00 90.00°
With the nearest neighbours (Å) after each atom.
Space group P4/mmm (No. 123)
Symmetry-distinct sites (fractional):
K 0.0000 0.0000 0.0000 [1 per cell]  4 K 3.23
Ta 0.5000 0.5000 0.3456 [2 per cell]  4 Mo 2.72, 1 Ta 2.95
Mo 0.0000 0.0000 0.5000 [1 per cell]  8 Ta 2.72

# 9
## B (PBE-GGA)

Data for a relaxed B crystal.

Computed properties:
DFT formation energy	200	meV/atom
total moment	0.000	Bohr magnetons per cell

Cell: 5.6151 2.8655 4.9802 Å, 90.00 99.56 90.00°
With the nearest neighbours (Å) after each atom.
Space group C2/m (No. 12)
Symmetry-distinct sites (fractional):
B 0.0820 0.0000 0.3736 [4 per cell]  5 B 1.68-1.87
B 0.1558 0.0000 0.0491 [4 per cell]  7 B 1.73-1.89
B 0.2406 0.5000 0.2738 [4 per cell]  7 B 1.80-1.90

# 10
## Hf2FeOs (PBE-GGA)

Data for a relaxed Hf2FeOs crystal.

Computed properties:
DFT formation energy	-519	meV/atom
total moment	0.000	Bohr magnetons per cell

Cell: 6.4123 6.4123 6.4123 Å, 90.00 90.00 90.00°
With the nearest neighbours (Å) after each atom.
Space group Fm-3m (No. 225)
Symmetry-distinct sites (fractional):
Hf 0.2500 0.2500 0.2500 [8 per cell]  4 Fe 2.78, 4 Os 2.78
Fe 0.0000 0.0000 0.0000 [4 per cell]  8 Hf 2.78
Os 0.0000 0.0000 0.5000 [4 per cell]  8 Hf 2.78

# 11
## Ce3In2Hg3 (PBE-GGA)

Data for a relaxed Ce3In2Hg3 crystal.

Computed properties:
DFT formation energy	-297	meV/atom
total moment	3.740	Bohr magnetons per cell

Cell: 8.7117 8.7117 3.3734 Å, 90.00 90.00 120.00°
With the nearest neighbours (Å) after each atom.
Space group P-62m (No. 189)
Symmetry-distinct sites (fractional):
Ce 0.0000 0.3184 0.0000 [3 per cell]  6 Hg 3.25-3.58, 2 Ce 3.37, 4 In 3.42
In 0.3333 0.6667 0.5000 [2 per cell]  3 Hg 2.97
Hg 0.0000 0.6810 0.5000 [3 per cell]  2 In 2.97, 4 Ce 3.25

# 12
## ZrMnRh3 (PBE-GGA)

Data for a relaxed ZrMnRh3 crystal.

Computed properties:
DFT formation energy	420	meV/atom
total moment	0.000	Bohr magnetons per cell

Cell: 4.4466 4.4466 4.4466 Å, 90.00 90.00 90.00°
With the nearest neighbours (Å) after each atom.
Space group Pm-3m (No. 221)
Symmetry-distinct sites (fractional):
Zr 0.0000 0.0000 0.0000 [1 per cell]  12 Rh 3.14
Mn 0.5000 0.5000 0.5000 [1 per cell]  6 Rh 2.22
Rh 0.0000 0.5000 0.5000 [3 per cell]  2 Mn 2.22

# 13
## ZrSiAs2 (PBE-GGA)

Data for a relaxed ZrSiAs2 crystal.

Computed properties:
formation energy from raw total energies	-1.346	eV per formula unit
total moment	0.000	Bohr magnetons per cell

Cell: 3.5915 3.5434 5.9040 Å, 90.00 102.23 90.00°
With the nearest neighbours (Å) after each atom.
Space group P2/m (No. 10)
Symmetry-distinct sites (fractional):
Zr 0.0000 0.0000 0.0000 [1 per cell]  8 As 2.87-2.91, 2 Si 2.95
Si 0.0000 0.0000 0.5000 [1 per cell]  4 As 2.60
As 0.4217 0.5000 0.7556 [2 per cell]  2 Si 2.60, 1 As 2.82, 4 Zr 2.87-2.91

# 14
## K3UI6Cl2 (PBE-GGA)

Data for a relaxed K3UI6Cl2 crystal.

Computed properties:
formation energy from raw total energies	-14.708	eV per formula unit
total moment	2.000	Bohr magnetons per cell

Cell: 18.4406 9.4266 7.6088 Å, 90.00 111.33 90.00°
With the nearest neighbours (Å) after each atom.
Space group C2/m (No. 12)
Symmetry-distinct sites (fractional):
K 0.0000 0.0000 0.0000 [2 per cell]  2 Cl 2.97
K 0.2500 0.2500 0.5000 [4 per cell]  2 Cl 2.99
U 0.0000 0.5000 0.5000 [2 per cell]  6 I 2.94-2.95
I 0.0935 0.5000 0.2577 [4 per cell]  1 U 2.95
I 0.0998 0.2795 0.7410 [8 per cell]  1 U 2.94
Cl 0.1599 0.0000 0.2913 [4 per cell]  3 K 2.97-2.99

# 15
## ThBSe (PBE-GGA)

Data for a relaxed ThBSe crystal.

Computed properties:
formation energy from raw total energies	-2.220	eV per formula unit
total moment	0.000	Bohr magnetons per cell

Cell: 7.5064 3.4560 11.1870 Å, 90.00 103.57 90.00°
With the nearest neighbours (Å) after each atom.
Space group C2/m (No. 12)
Symmetry-distinct sites (fractional):
Th 0.0693 0.0000 0.1749 [4 per cell]  6 B 2.79-3.11, 3 Se 2.87-2.91
B 0.2238 0.5000 0.0020 [4 per cell]  2 B 1.78
Se 0.1798 0.0000 0.6617 [4 per cell]  3 Th 2.87-2.91

# 16
## Ta2CrIr (PBE-GGA)

Data for a relaxed Ta2CrIr crystal.

Computed properties:
DFT formation energy	553	meV/atom
total moment	11.736	Bohr magnetons per cell

Cell: 3.9278 3.9278 18.3871 Å, 90.00 90.00 90.00°
With the nearest neighbours (Å) after each atom.
Space group I-42d (No. 122)
Symmetry-distinct sites (fractional):
Ta 0.2479 0.2500 0.1250 [8 per cell]  2 Cr 2.68, 2 Ir 2.69, 4 Ta 2.77-2.79
Cr 0.0000 0.0000 0.0000 [4 per cell]  4 Ta 2.68, 4 Ir 2.78
Ir 0.0000 0.0000 0.5000 [4 per cell]  4 Ta 2.69, 4 Cr 2.78